Entry 1:
The following is a PBEsol calculation of an optimized crystal structure of Cs7Np3Cl12O6, from Alexandria via LeMat-Bulk.

## Properties
Calculated total energy ... -0.429 Ry/atom
Total moment ... 4.0 μB per formula unit
Formation energy without anion corrections ... -2.136 eV/atom

The structure in CIF format:
```
data_Cs7Np3Cl12O6
_cell_length_a 14.920
_cell_length_b 14.920
_cell_length_c 14.920
_cell_angle_alpha 90.00
_cell_angle_beta 90.00
_cell_angle_gamma 90.00
_symmetry_space_group_name_H-M 'I -4 3 d'
_symmetry_Int_Tables_number 220
_symmetry_space_group_name_Hall 'I -4bd 2c 3'
loop_
_atom_site_label
_atom_site_type_symbol
_atom_site_fract_x
_atom_site_fract_y
_atom_site_fract_z
Cs1 Cs 0.000 0.250 0.375
Cs2 Cs 0.101 0.101 0.101
Np1 Np 0.000 0.250 0.875
Cl1 Cl 0.059 0.418 0.871
O1 O 0.000 0.250 0.754
```

Entry 2:
The following is a PBEsol calculation of an optimized crystal structure of CsCl2O2, from Alexandria via LeMat-Bulk.

## Properties
Calculated total energy ... -0.227 Ry/atom
Total moment ... 0.0 μB per formula unit
Formation energy without anion corrections ... 0.007 eV/atom

The structure in CIF format:
```
data_CsCl2O2
_cell_length_a 4.428
_cell_length_b 4.428
_cell_length_c 11.098
_cell_angle_alpha 90.00
_cell_angle_beta 90.00
_cell_angle_gamma 90.00
_symmetry_space_group_name_H-M 'I 4/m m m'
_symmetry_Int_Tables_number 139
_symmetry_space_group_name_Hall '-I 4 2'
loop_
_atom_site_label
_atom_site_type_symbol
_atom_site_fract_x
_atom_site_fract_y
_atom_site_fract_z
Cs1 Cs 0.000 0.000 0.000
Cl1 Cl 0.000 0.000 0.277
O1 O 0.000 0.500 0.250
```

Entry 3:
The following is a PBEsol calculation of an optimized crystal structure of Cs3ClO, from Alexandria via LeMat-Bulk.

## Properties
Calculated total energy ... -0.253 Ry/atom
Total moment ... 0.1 μB per formula unit
Formation energy without anion corrections ... -1.420 eV/atom

The structure in CIF format:
```
data_Cs3ClO
_cell_length_a 9.417
_cell_length_b 4.376
_cell_length_c 16.193
_cell_angle_alpha 90.00
_cell_angle_beta 90.00
_cell_angle_gamma 90.00
_symmetry_space_group_name_H-M 'P n m a'
_symmetry_Int_Tables_number 62
loop_
_symmetry_equiv_pos_as_xyz
'x,y,z'
'-x,-y,-z'
'-x+1/2,-y,z+1/2'
'x+1/2,y,-z+1/2'
'x+1/2,-y+1/2,-z+1/2'
'-x+1/2,y+1/2,z+1/2'
'-x,y+1/2,-z'
'x,-y+1/2,z'
loop_
_atom_site_label
_atom_site_type_symbol
_atom_site_fract_x
_atom_site_fract_y
_atom_site_fract_z
Cs1 Cs 0.027 0.250 0.099
Cs2 Cs 0.171 0.250 0.501
Cs3 Cs 0.214 0.750 0.290
Cl1 Cl 0.074 0.750 0.672
O1 O 0.165 0.250 0.939
```

Entry 4:
The following is a PBEsol calculation of an optimized crystal structure of CsPClO2, from Alexandria via LeMat-Bulk.

## Properties
Calculated total energy ... -0.215 Ry/atom
Total moment ... 1.9 μB per formula unit
Formation energy without anion corrections ... 0.925 eV/atom

The structure in CIF format:
```
data_CsPClO2
_cell_length_a 4.178
_cell_length_b 4.178
_cell_length_c 7.918
_cell_angle_alpha 90.00
_cell_angle_beta 90.00
_cell_angle_gamma 90.00
_symmetry_space_group_name_H-M 'P 4/m m m'
_symmetry_Int_Tables_number 123
_symmetry_space_group_name_Hall '-P 4 2'
loop_
_atom_site_label
_atom_site_type_symbol
_atom_site_fract_x
_atom_site_fract_y
_atom_site_fract_z
Cs1 Cs 0.000 0.000 0.000
P1 P 0.000 0.000 0.500
Cl1 Cl 0.500 0.500 0.500
O1 O 0.000 0.500 0.000
```